DFT (PBE) results for an optimized crystal structure of Tm2Al3Os.

a = 5.3994 Å, b = 5.3994 Å, c = 5.3994 Å
α = 60.25°, β = 60.25°, γ = 60.25°
Last column: nearest neighbours and their distance in Å.
Sites, in units of the cell vectors:
Tm  0.1279  0.1279  0.1279  9 Al 3.13-3.19, 3 Os 3.17, 4 Tm 3.29-3.38
Tm  0.8721  0.8721  0.8721  9 Al 3.13-3.19, 3 Os 3.17, 4 Tm 3.29-3.38
Al  0.0000  0.5000  0.5000  2 Os 2.70, 4 Al 2.71
Al  0.5000  0.0000  0.5000  2 Os 2.70, 4 Al 2.71
Al  0.5000  0.5000  0.0000  2 Os 2.70, 4 Al 2.71
Os  0.5000  0.5000  0.5000  6 Al 2.70

Calculated values
**Space-group type**: R-3m (166)
**Total magnetization**: 0.00 μB per formula unit
**Final energy**: -5.77 eV/atom